Entry from Alexandria: crystalline Pm3CuAg2 at its relaxed geometry (PBE).

Cell and atoms, written as POSCAR:
```
Pm3CuAg2
1.0
-1.485 -2.288 4.452
-1.718 -1.833 -4.577
10.044 -7.788 -0.652
Pm Cu Ag
6 2 4
Direct
0.333 0.667 0.417
0.667 0.333 0.090
0.000 0.000 0.744
0.000 0.000 0.256
0.333 0.667 0.910
0.667 0.333 0.583
0.333 0.667 0.664
0.667 0.333 0.336
0.000 0.000 0.500
0.333 0.667 0.165
0.667 0.333 0.835
0.000 0.000 0.000
```

Energy of formation in meV per atom: -221
Distance to the lowest polymorph of the same formula in eV/atom: 0.013
Space-group type: P-3m1 (164)

Entry from Alexandria: crystalline Pm12Ge5C2 at its relaxed geometry (PBE).

Cell and atoms, written as POSCAR:
```
Pm12Ge5C2
1.0
-4.108 -5.549 2.972
4.402 -2.260 -7.642
6.299 -1.046 6.752
Pm Ge C
12 5 2
Direct
0.991 0.981 0.176
0.094 0.680 0.917
0.586 0.680 0.917
0.101 0.703 0.431
0.601 0.703 0.431
0.498 0.995 0.806
0.502 0.005 0.194
0.899 0.297 0.569
0.399 0.297 0.569
0.906 0.320 0.083
0.414 0.320 0.083
0.009 0.019 0.824
0.304 0.609 0.647
0.317 0.635 0.167
0.000 0.000 0.500
0.683 0.365 0.833
0.696 0.391 0.353
0.747 0.000 0.000
0.253 0.000 0.000
```

Energy of formation in meV per atom: -435
Space-group type: C2/m (12)

Entry from Alexandria: crystalline MnBiSe2N at its relaxed geometry (PBE).

Cell and atoms, written as POSCAR:
```
MnBiSe2N
1.0
-4.742 -1.489 -2.393
2.722 -3.636 -3.131
-0.568 -3.006 2.997
Mn Bi Se N
1 1 2 1
Direct
0.500 0.500 0.500
0.000 0.000 0.000
0.000 0.500 0.000
0.500 0.000 0.000
0.000 0.000 0.500
```

Distance to the lowest polymorph of the same formula in eV/atom: 1.035
Uncorrected formation energy in eV/atom: 1.084
Space-group type: P4/mmm (123)

Entry from Alexandria: crystalline MgTlF5 at its relaxed geometry (PBE).

Cell and atoms, written as POSCAR:
```
MgTlF5
1.0
5.225 -0.048 1.914
1.117 5.105 1.914
-0.053 -0.043 7.589
Mg Tl F
2 2 10
Direct
0.000 0.000 0.000
0.000 0.000 0.500
0.554 0.446 0.250
0.446 0.554 0.750
0.796 0.717 0.129
0.284 0.679 0.468
0.717 0.796 0.629
0.909 0.091 0.250
0.321 0.716 0.032
0.679 0.284 0.968
0.091 0.909 0.750
0.283 0.204 0.371
0.716 0.321 0.532
0.204 0.283 0.871
```

Uncorrected formation energy in eV/atom: -2.546
Space-group type: C2/c (15)

Entry from Alexandria: crystalline NaSrB12 at its relaxed geometry (PBE).

Cell and atoms, written as POSCAR:
```
NaSrB12
1.0
-1.169 -3.354 4.729
1.965 -5.574 0.231
4.343 -1.452 3.743
Na Sr B
1 1 12
Direct
0.000 0.000 0.000
0.500 0.500 0.500
0.900 0.900 0.600
0.400 0.400 0.100
0.600 0.900 0.600
0.100 0.400 0.100
0.900 0.600 0.600
0.400 0.100 0.100
0.900 0.600 0.900
0.400 0.100 0.400
0.600 0.900 0.900
0.100 0.400 0.400
0.600 0.600 0.900
0.100 0.100 0.400
```

Energy of formation in meV per atom: -245
Space-group type: Fm-3m (225)

Entry from Alexandria: crystalline ZrSi3Br at its relaxed geometry (PBE).

Cell and atoms, written as POSCAR:
```
ZrSi3Br
1.0
-4.733 -0.301 0.696
0.758 -1.707 4.415
-0.030 4.470 1.733
Si Br Zr
3 1 1
Direct
0.000 0.500 0.000
0.000 0.000 0.500
0.500 0.000 0.000
0.000 0.000 0.000
0.500 0.500 0.500
```

Distance to the lowest polymorph of the same formula in eV/atom: 0.323
Uncorrected formation energy in eV/atom: 1.174
Space-group type: Pm-3m (221)